This record from Alexandria via LeMat-Bulk describes a relaxed structure of PmEr4S7. The functional is PBE-GGA.

a = 3.7948 Å, b = 6.7127 Å, c = 11.6146 Å
α = 103.79°, β = 90.00°, γ = 106.42°
Closest atoms and distances in Å follow each position.
Atoms (fractional coordinates):
1 Pm 0.8884 0.7768 0.5802  6 S 2.74-2.91
2 Er 0.7008 0.4016 0.8152  7 S 2.72-2.92
3 Er 0.3002 0.6003 0.1857  7 S 2.73-2.92
4 Er 0.0010 0.0021 0.0024  6 S 2.65-2.74
5 Er 0.1120 0.2239 0.4182  6 S 2.64-2.84
6 S 0.7382 0.4763 0.3475  4 Er 2.75-2.92, 1 Pm 2.91
7 S 0.2515 0.5030 0.6494  3 Er 2.84-2.89, 2 Pm 2.84
8 S 0.3429 0.6859 0.9502  5 Er 2.74-2.92
9 S 0.6594 0.3188 0.0511  5 Er 2.74-2.92
10 S 0.0455 0.0909 0.7912  3 Er 2.65-2.72, 1 Pm 2.76
11 S 0.9569 0.9138 0.2145  4 Er 2.66-2.73
12 S 0.5033 0.0065 0.4943  2 Er 2.64, 2 Pm 2.74

## Properties
**Size of the total moment**: 0.000 μB/f.u.
**Final energy**: -0.46855 Ry per atom
**N(E_F)**: 0.1273 states/eV per atom
**Symmetry**: Cm (8)
**ρ**: 6.3 g cm⁻³
**Uncorrected formation energy**: -2050 meV per atom